Run a
First-principles (PBE) data for a geometry-optimized TlBi2As structure, as listed in Alexandria via LeMat-Bulk.

abc: 3.9796 3.9796 7.3142
angles: 90.00 90.00 90.00
Last column: nearest neighbours and their distance in Å.
Space group P4/mmm (No. 123)
Unique sites:
Tl  0.0000  0.0000  0.0000 [1 per cell]  8 Bi 3.52, 2 As 3.66
Bi  0.5000  0.5000  0.2880 [2 per cell]  1 Bi 3.10, 4 As 3.21
As  0.0000  0.0000  0.5000 [1 per cell]  8 Bi 3.21



Run b
First-principles (PBE) data for a geometry-optimized TlBi2As structure, as listed in Alexandria via LeMat-Bulk.

abc: 6.6922 6.6922 14.5178
angles: 90.00 90.00 90.00
Last column: nearest neighbours and their distance in Å.
Space group I-42d (No. 122)
Unique sites:
Tl  0.0000  0.0000  0.0000 [4 per cell]  4 Bi 3.10
Bi  0.2207  0.2500  0.6250 [8 per cell]  2 As 2.88, 2 Tl 3.10
As  0.0000  0.0000  0.5000 [4 per cell]  4 Bi 2.88



Run c
First-principles (PBE) data for a geometry-optimized TlBi2As structure, as listed in Alexandria via LeMat-Bulk.

abc: 7.6408 7.6408 7.6408
angles: 90.00 90.00 90.00
Last column: nearest neighbours and their distance in Å.
Space group Fm-3m (No. 225)
Unique sites:
Tl  0.0000  0.0000  0.0000 [4 per cell]  8 Bi 3.31
Bi  0.2500  0.2500  0.2500 [8 per cell]  4 Tl 3.31, 4 As 3.31
As  0.0000  0.0000  0.5000 [4 per cell]  8 Bi 3.31



Run d
First-principles (PBE) data for a geometry-optimized TlBi2As structure, as listed in Alexandria via LeMat-Bulk.

abc: 3.9749 3.9749 27.0329
angles: 90.00 90.00 120.00
Last column: nearest neighbours and their distance in Å.
Space group R-3m (No. 166, hexagonal axes)
Unique sites:
Tl  0.0000  0.0000  0.0000 [3 per cell]  6 Bi 3.49
Bi  0.0000  0.0000  0.2359 [6 per cell]  3 As 2.96
As  0.0000  0.0000  0.5000 [3 per cell]  6 Bi 2.96



Of them, run b has the lowest stability.



Run a
First-principles (PBE) data for a geometry-optimized UBiAs structure, as listed in Alexandria via LeMat-Bulk.

abc: 4.7757 4.7757 4.0865
angles: 90.00 90.00 120.00
Last column: nearest neighbours and their distance in Å.
Space group P-6m2 (No. 187)
Unique sites:
U  0.0000  0.0000  0.0000 [1 per cell]  3 As 2.76
Bi  0.3333  0.6667  0.5000 [1 per cell]  6 U 3.43, 6 As 3.43
As  0.6667  0.3333  0.0000 [1 per cell]  3 U 2.76



Run b
First-principles (PBE) data for a geometry-optimized UBiAs structure, as listed in Alexandria via LeMat-Bulk.

abc: 4.2535 4.2535 8.5199
angles: 90.00 90.00 90.00
Last column: nearest neighbours and their distance in Å.
Space group P4/nmm (No. 129, origin choice 2)
Unique sites:
U  0.2500  0.2500  0.1879 [2 per cell]  5 As 2.84-3.03
Bi  0.2500  0.7500  0.5000 [2 per cell]  4 Bi 3.01
As  0.2500  0.2500  0.8545 [2 per cell]  5 U 2.84-3.03



Run c
First-principles (PBE) data for a geometry-optimized UBiAs structure, as listed in Alexandria via LeMat-Bulk.

abc: 3.8447 3.8447 10.9335
angles: 90.00 90.00 90.00
Last column: nearest neighbours and their distance in Å.
Space group I4mm (No. 107)
Unique sites:
U  0.0000  0.0000  0.0000 [2 per cell]  4 As 2.88
Bi  0.0000  0.0000  0.3111 [2 per cell]  1 As 3.00
As  0.0000  0.0000  0.5858 [2 per cell]  4 U 2.88, 1 Bi 3.00



Of them, run a has the lowest stability.



Run a
First-principles (PBE) data for a geometry-optimized UBiAs2 structure, as listed in Alexandria via LeMat-Bulk.

abc: 4.0461 4.0461 26.4956
angles: 90.00 90.00 120.00
Last column: nearest neighbours and their distance in Å.
Space group R-3m (No. 166, hexagonal axes)
Unique sites:
U  0.0000  0.0000  0.0000 [3 per cell]  6 As 2.79
Bi  0.0000  0.0000  0.5000 [3 per cell]  2 As 2.89
As  0.0000  0.0000  0.3910 [6 per cell]  3 U 2.79, 1 Bi 2.89



Run b
First-principles (PBE) data for a geometry-optimized UBiAs2 structure, as listed in Alexandria via LeMat-Bulk.

abc: 4.8839 4.8839 3.8315
angles: 90.00 90.00 90.00
Last column: nearest neighbours and their distance in Å.
Space group P4/mmm (No. 123)
Unique sites:
U  0.0000  0.0000  0.0000 [1 per cell]  8 As 3.10, 4 Bi 3.45
Bi  0.5000  0.5000  0.0000 [1 per cell]  8 As 3.10, 4 U 3.45
As  0.0000  0.5000  0.5000 [2 per cell]  4 Bi 3.10, 4 U 3.10, 4 As 3.45



Of them, run a has the lowest stability.



Run a
First-principles (PBE) data for a geometry-optimized Bi3AsW structure, as listed in Alexandria via LeMat-Bulk.

abc: 5.4468 5.4468 5.4468
angles: 90.00 90.00 90.00
Last column: nearest neighbours and their distance in Å.
Space group Pm-3m (No. 221)
Unique sites:
Bi  0.0000  0.0000  0.5000 [3 per cell]  2 As 2.72
As  0.0000  0.0000  0.0000 [1 per cell]  6 Bi 2.72
W  0.5000  0.5000  0.5000 [1 per cell]  12 Bi 3.85



Run b
First-principles (PBE) data for a geometry-optimized Bi3AsW structure, as listed in Alexandria via LeMat-Bulk.

abc: 5.3563 5.3563 5.3563
angles: 90.00 90.00 90.00
Last column: nearest neighbours and their distance in Å.
Space group Pm-3m (No. 221)
Unique sites:
Bi  0.0000  0.0000  0.5000 [3 per cell]  2 W 2.68
As  0.5000  0.5000  0.5000 [1 per cell]  12 Bi 3.79
W  0.0000  0.0000  0.0000 [1 per cell]  6 Bi 2.68



Of them, run a has the lowest stability.



Run a
First-principles (PBE) data for a geometry-optimized YBiAs2 structure, as listed in Alexandria via LeMat-Bulk.

abc: 6.4827 6.4827 13.4889
angles: 90.00 90.00 90.00
Last column: nearest neighbours and their distance in Å.
Space group I-42d (No. 122)
Unique sites:
Y  0.0000  0.0000  0.0000 [4 per cell]  4 As 2.81
Bi  0.0000  0.0000  0.5000 [4 per cell]  4 As 2.88
As  0.2402  0.2500  0.1250 [8 per cell]  2 Y 2.81, 2 Bi 2.88



Run b
First-principles (PBE) data for a geometry-optimized YBiAs2 structure, as listed in Alexandria via LeMat-Bulk.

abc: 4.1949 4.1949 20.7414
angles: 90.00 90.00 120.00
Last column: nearest neighbours and their distance in Å.
Space group R-3m (No. 166, hexagonal axes)
Unique sites:
Y  0.0000  0.0000  0.0000 [3 per cell]  6 As 2.94
Bi  0.0000  0.0000  0.5000 [3 per cell]  6 As 3.01
As  0.0000  0.0000  0.2529 [6 per cell]  3 Y 2.94, 3 Bi 3.01



Run c
First-principles (PBE) data for a geometry-optimized YBiAs2 structure, as listed in Alexandria via LeMat-Bulk.

abc: 7.3049 7.3049 7.3049
angles: 90.00 90.00 90.00
Last column: nearest neighbours and their distance in Å.
Space group Fm-3m (No. 225)
Unique sites:
Y  0.0000  0.0000  0.0000 [4 per cell]  8 As 3.16
Bi  0.0000  0.0000  0.5000 [4 per cell]  8 As 3.16
As  0.2500  0.2500  0.2500 [8 per cell]  4 Bi 3.16, 4 Y 3.16



Of them, run c has the lowest stability.



Run a
First-principles (PBE) data for a geometry-optimized YBi2As structure, as listed in Alexandria via LeMat-Bulk.

abc: 7.6512 7.6512 7.6512
angles: 90.00 90.00 90.00
Last column: nearest neighbours and their distance in Å.
Space group Fm-3m (No. 225)
Unique sites:
Y  0.0000  0.0000  0.0000 [4 per cell]  8 Bi 3.31
Bi  0.2500  0.2500  0.2500 [8 per cell]  4 As 3.31, 4 Y 3.31
As  0.0000  0.0000  0.5000 [4 per cell]  8 Bi 3.31



Run b
First-principles (PBE) data for a geometry-optimized YBi2As structure, as listed in Alexandria via LeMat-Bulk.

abc: 6.8132 6.8132 14.0460
angles: 90.00 90.00 90.00
Last column: nearest neighbours and their distance in Å.
Space group I-42d (No. 122)
Unique sites:
Y  0.0000  0.0000  0.0000 [4 per cell]  4 Bi 3.09
Bi  0.2227  0.2500  0.6250 [8 per cell]  2 As 2.88, 2 Y 3.09
As  0.0000  0.0000  0.5000 [4 per cell]  4 Bi 2.88



Of them, run b has the lowest stability.